# 1
DyTm2Mg4: relaxed, PBE.

Cell: 5.9353 12.8896 5.4084 Å, 90.00 90.00 90.00°
With the nearest neighbours (Å) after each atom.
Sites, in units of the cell vectors:
Dy (0.0000, 0.0000, 0.0000)  6 Mg 3.12-3.17
Dy (0.5000, 0.5000, 0.0000)  6 Mg 3.12-3.17
Tm (0.0000, 0.3701, 0.5000)  5 Mg 2.97-3.21
Tm (0.0000, 0.6299, 0.5000)  5 Mg 2.97-3.21
Tm (0.5000, 0.1299, 0.5000)  5 Mg 2.97-3.21
Tm (0.5000, 0.8701, 0.5000)  5 Mg 2.97-3.21
Mg (0.0000, 0.1210, 0.5000)  3 Tm 2.97-3.21, 3 Mg 3.12-3.15, 2 Dy 3.12
Mg (0.0000, 0.2460, 0.0000)  4 Mg 2.97-3.15, 2 Tm 3.14, 1 Dy 3.17
Mg (0.0000, 0.7540, 0.0000)  4 Mg 2.97-3.15, 2 Tm 3.14, 1 Dy 3.17
Mg (0.0000, 0.8790, 0.5000)  3 Tm 2.97-3.21, 3 Mg 3.12-3.15, 2 Dy 3.12
Mg (0.5000, 0.2540, 0.0000)  4 Mg 2.97-3.15, 2 Tm 3.14, 1 Dy 3.17
Mg (0.5000, 0.3790, 0.5000)  3 Tm 2.97-3.21, 3 Mg 3.12-3.15, 2 Dy 3.12
Mg (0.5000, 0.6210, 0.5000)  3 Tm 2.97-3.21, 3 Mg 3.12-3.15, 2 Dy 3.12
Mg (0.5000, 0.7460, 0.0000)  4 Mg 2.97-3.15, 2 Tm 3.14, 1 Dy 3.17

Values from the calculation:
- energy relative to the lowest polymorph listed for this composition (meV per atom) = 303
- formation enthalpy at 0 K (eV per atom) = 0.40

---

# 2
Dy2TmMg2: relaxed, PBE.

Cell: 11.8005 11.8005 4.9121 Å, 90.00 90.00 155.90°
With the nearest neighbours (Å) after each atom.
Sites, in units of the cell vectors:
Dy (0.0524, 0.9476, 0.7500)  8 Dy 3.45-3.51, 2 Tm 3.51, 2 Mg 3.56
Dy (0.4438, 0.5562, 0.7500)  2 Tm 3.45, 8 Dy 3.48-3.57, 2 Mg 3.49
Dy (0.5562, 0.4438, 0.2500)  2 Tm 3.45, 8 Dy 3.48-3.57, 2 Mg 3.49
Dy (0.9476, 0.0524, 0.2500)  8 Dy 3.45-3.51, 2 Tm 3.51, 2 Mg 3.56
Tm (0.1608, 0.8392, 0.2500)  8 Mg 3.21-3.48, 4 Dy 3.45-3.51
Tm (0.8392, 0.1608, 0.7500)  8 Mg 3.21-3.48, 4 Dy 3.45-3.51
Mg (0.2503, 0.7497, 0.7500)  8 Mg 3.16-3.48, 4 Tm 3.21
Mg (0.3361, 0.6639, 0.2500)  4 Mg 3.16-3.17, 4 Tm 3.48, 2 Dy 3.49
Mg (0.6639, 0.3361, 0.7500)  4 Mg 3.16-3.17, 4 Tm 3.48, 2 Dy 3.49
Mg (0.7497, 0.2503, 0.2500)  8 Mg 3.16-3.48, 4 Tm 3.21

Values from the calculation:
- energy relative to the lowest polymorph listed for this composition (meV per atom) = 49
- formation enthalpy at 0 K (eV per atom) = -0.01

---

# 3
Dy4Tm3Mg: relaxed, PBE.

Cell: 3.5256 3.5256 19.2720 Å, 90.00 90.00 90.00°
With the nearest neighbours (Å) after each atom.
Sites, in units of the cell vectors:
Dy (0.0000, 0.0000, 0.1160)  4 Mg 3.35, 4 Tm 3.49, 4 Dy 3.53
Dy (0.0000, 0.0000, 0.3715)  8 Tm 3.51-3.52, 4 Dy 3.53
Dy (0.0000, 0.0000, 0.6285)  8 Tm 3.51-3.52, 4 Dy 3.53
Dy (0.0000, 0.0000, 0.8840)  4 Mg 3.35, 4 Tm 3.49, 4 Dy 3.53
Tm (0.5000, 0.5000, 0.2424)  8 Dy 3.49-3.52, 4 Tm 3.53
Tm (0.5000, 0.5000, 0.5000)  8 Dy 3.51, 4 Tm 3.53
Tm (0.5000, 0.5000, 0.7576)  8 Dy 3.49-3.52, 4 Tm 3.53
Mg (0.5000, 0.5000, 0.0000)  8 Dy 3.35, 4 Mg 3.53

Values from the calculation:
- energy relative to the lowest polymorph listed for this composition (meV per atom) = 0
- formation enthalpy at 0 K (eV per atom) = 0.00

---

# 4
DyTm7Mg4: relaxed, PBE.

Cell: 7.9632 7.9632 9.5745 Å, 119.25 119.25 41.78°
With the nearest neighbours (Å) after each atom.
Sites, in units of the cell vectors:
Dy (0.0000, 0.0000, 0.0000)  2 Tm 2.84
Tm (0.0800, 0.0800, 0.4263)  5 Mg 3.12-3.43, 2 Tm 3.34-3.41
Tm (0.2049, 0.2049, 0.8793)  4 Mg 3.45-3.82, 7 Tm 3.46-3.72, 1 Dy 3.78
Tm (0.2495, 0.2495, 0.2878)  4 Mg 3.03-3.20, 1 Dy 3.27
Tm (0.5000, 0.5000, 0.0000)  2 Dy 2.84, 2 Mg 2.95
Tm (0.7505, 0.7505, 0.7122)  4 Mg 3.03-3.20, 1 Dy 3.27
Tm (0.7951, 0.7951, 0.1207)  4 Mg 3.45-3.82, 7 Tm 3.46-3.72, 1 Dy 3.78
Tm (0.9200, 0.9200, 0.5737)  5 Mg 3.12-3.43, 2 Tm 3.34-3.41
Mg (0.3254, 0.3254, 0.6540)  5 Tm 2.95-3.20, 1 Mg 3.03
Mg (0.4573, 0.4573, 0.3014)  4 Tm 3.03-3.26, 2 Mg 3.03-3.32
Mg (0.5427, 0.5427, 0.6986)  4 Tm 3.03-3.26, 2 Mg 3.03-3.32
Mg (0.6746, 0.6746, 0.3460)  5 Tm 2.95-3.20, 1 Mg 3.03

Values from the calculation:
- formation enthalpy at 0 K (eV per atom) = 0.20

---

# 5
DyTm3Mg: relaxed, PBE.

Cell: 3.5320 10.9725 8.3004 Å, 90.00 101.60 90.00°
With the nearest neighbours (Å) after each atom.
Sites, in units of the cell vectors:
Dy (0.0016, 0.2500, 0.4617)  2 Mg 3.17, 2 Tm 3.39-3.48, 2 Dy 3.53
Dy (0.9984, 0.7500, 0.5383)  2 Mg 3.17, 2 Tm 3.39-3.48, 2 Dy 3.53
Tm (0.1632, 0.0059, 0.8107)  2 Mg 3.21-3.22, 7 Tm 3.38-3.56, 1 Dy 3.58
Tm (0.1632, 0.4941, 0.8107)  2 Mg 3.21-3.22, 7 Tm 3.38-3.56, 1 Dy 3.58
Tm (0.3045, 0.2500, 0.0997)  2 Mg 3.10-3.11, 4 Tm 3.38-3.42, 1 Dy 3.39
Tm (0.6955, 0.7500, 0.9003)  2 Mg 3.10-3.11, 4 Tm 3.38-3.42, 1 Dy 3.39
Tm (0.8368, 0.5059, 0.1893)  2 Mg 3.21-3.22, 7 Tm 3.38-3.56, 1 Dy 3.58
Tm (0.8368, 0.9941, 0.1893)  2 Mg 3.21-3.22, 7 Tm 3.38-3.56, 1 Dy 3.58
Mg (0.3456, 0.7500, 0.2143)  6 Tm 3.10-3.22, 2 Dy 3.17
Mg (0.6544, 0.2500, 0.7857)  6 Tm 3.10-3.22, 2 Dy 3.17

Values from the calculation:
- energy relative to the lowest polymorph listed for this composition (meV per atom) = 215
- formation enthalpy at 0 K (eV per atom) = 0.20

---

# 6
Dy2TmMg2: relaxed, PBE.

Cell: 3.7094 5.3966 14.0060 Å, 90.00 97.61 90.00°
With the nearest neighbours (Å) after each atom.
Sites, in units of the cell vectors:
Dy (0.0438, 0.2500, 0.0876)  8 Mg 3.25-3.31, 2 Dy 3.63
Dy (0.2366, 0.2500, 0.4741)  2 Mg 3.28, 4 Dy 3.35, 4 Tm 3.58-3.59
Dy (0.7634, 0.7500, 0.5259)  2 Mg 3.28, 4 Dy 3.35, 4 Tm 3.58-3.59
Dy (0.9562, 0.7500, 0.9124)  8 Mg 3.25-3.31, 2 Dy 3.63
Tm (0.1521, 0.7500, 0.3048)  6 Mg 3.28-3.29, 4 Dy 3.58-3.59
Tm (0.8479, 0.2500, 0.6952)  6 Mg 3.28-3.29, 4 Dy 3.58-3.59
Mg (0.3609, 0.7500, 0.7204)  4 Dy 3.25-3.28, 4 Tm 3.29, 2 Mg 3.58
Mg (0.4451, 0.2500, 0.8899)  2 Tm 3.28, 6 Dy 3.29-3.31, 2 Mg 3.58
Mg (0.5549, 0.7500, 0.1101)  2 Tm 3.28, 6 Dy 3.29-3.31, 2 Mg 3.58
Mg (0.6391, 0.2500, 0.2796)  4 Dy 3.25-3.28, 4 Tm 3.29, 2 Mg 3.58

Values from the calculation:
- energy relative to the lowest polymorph listed for this composition (meV per atom) = 0
- formation enthalpy at 0 K (eV per atom) = -0.06

---

# 7
DyTm3Mg3: relaxed, PBE.

Cell: 9.0306 5.4658 9.0350 Å, 90.00 119.97 90.00°
With the nearest neighbours (Å) after each atom.
Sites, in units of the cell vectors:
Dy (0.1671, 0.2500, 0.3333)  9 Mg 3.37-3.41, 3 Tm 3.40
Dy (0.8329, 0.7500, 0.6667)  9 Mg 3.37-3.41, 3 Tm 3.40
Tm (0.2591, 0.7500, 0.8037)  5 Mg 3.35-3.46, 6 Tm 3.39-3.47, 1 Dy 3.40
Tm (0.3038, 0.2500, 0.0441)  5 Mg 3.35-3.46, 6 Tm 3.39-3.47, 1 Dy 3.40
Tm (0.4557, 0.2500, 0.7593)  5 Mg 3.35-3.46, 6 Tm 3.39-3.47, 1 Dy 3.40
Tm (0.5443, 0.7500, 0.2407)  5 Mg 3.35-3.46, 6 Tm 3.39-3.47, 1 Dy 3.40
Tm (0.6962, 0.7500, 0.9559)  5 Mg 3.35-3.46, 6 Tm 3.39-3.47, 1 Dy 3.40
Tm (0.7409, 0.2500, 0.1963)  5 Mg 3.35-3.46, 6 Tm 3.39-3.47, 1 Dy 3.40
Mg (0.0214, 0.2500, 0.6158)  4 Mg 3.35-3.41, 5 Tm 3.35-3.46, 3 Dy 3.37-3.41
Mg (0.1159, 0.7500, 0.0944)  4 Mg 3.35-3.42, 5 Tm 3.35-3.46, 3 Dy 3.37-3.41
Mg (0.4056, 0.7500, 0.5218)  5 Tm 3.35-3.46, 4 Mg 3.35-3.42, 3 Dy 3.37-3.40
Mg (0.5944, 0.2500, 0.4782)  5 Tm 3.35-3.46, 4 Mg 3.35-3.42, 3 Dy 3.37-3.40
Mg (0.8841, 0.2500, 0.9056)  4 Mg 3.35-3.42, 5 Tm 3.35-3.46, 3 Dy 3.37-3.41
Mg (0.9786, 0.7500, 0.3842)  4 Mg 3.35-3.41, 5 Tm 3.35-3.46, 3 Dy 3.37-3.41

Values from the calculation:
- formation enthalpy at 0 K (eV per atom) = 0.01

---

# 8
Dy2Y6Tm3Mg: relaxed, PBE.

Cell: 6.1109 6.1109 11.6602 Å, 95.04 95.04 120.01°
With the nearest neighbours (Å) after each atom.
Sites, in units of the cell vectors:
Dy (0.1665, 0.8335, 0.0000)  6 Y 3.52, 3 Dy 3.53, 3 Mg 3.53
Dy (0.8335, 0.1665, 0.0000)  6 Y 3.52, 3 Dy 3.53, 3 Mg 3.53
Y (0.0848, 0.4173, 0.7502)  1 Mg 3.51, 2 Dy 3.52, 6 Y 3.52-3.53, 3 Tm 3.52-3.53
Y (0.2500, 0.2500, 0.2505)  3 Tm 3.51-3.52, 6 Y 3.52-3.53, 2 Dy 3.52, 1 Mg 3.53
Y (0.4173, 0.0848, 0.7502)  1 Mg 3.51, 2 Dy 3.52, 6 Y 3.52-3.53, 3 Tm 3.52-3.53
Y (0.5827, 0.9152, 0.2498)  1 Mg 3.51, 2 Dy 3.52, 6 Y 3.52-3.53, 3 Tm 3.52-3.53
Y (0.7500, 0.7500, 0.7495)  3 Tm 3.51-3.52, 6 Y 3.52-3.53, 2 Dy 3.52, 1 Mg 3.53
Y (0.9152, 0.5827, 0.2498)  1 Mg 3.51, 2 Dy 3.52, 6 Y 3.52-3.53, 3 Tm 3.52-3.53
Tm (0.0000, 0.0000, 0.5000)  6 Y 3.52, 6 Tm 3.52-3.54
Tm (0.3342, 0.6658, 0.5000)  6 Y 3.51-3.53, 6 Tm 3.51-3.54
Tm (0.6658, 0.3342, 0.5000)  6 Y 3.51-3.53, 6 Tm 3.51-3.54
Mg (0.5000, 0.5000, 0.0000)  6 Y 3.51-3.53, 6 Dy 3.53

Values from the calculation:
- formation enthalpy at 0 K (eV per atom) = 0.03

---

The records above yield total moment values of 0.00 0.00 0.00 0.23 0.00 0.00 0.00 0.00 μB/cell, respectively.